Here is a relaxed U5P2S4 crystal from Alexandria. Energies are from PBE.

Lattice parameters (Å, degrees): 4.2525 4.2525 52.0670 90.00 90.00 120.00
With the nearest neighbours (Å) after each atom.
Space group R-3m (No. 166, hexagonal axes)
Asymmetric unit:
U1 0.0000 0.0000 0.0000 x3  6 P 2.86
U2 0.0000 0.0000 0.1317 x6  4 S 2.57-2.66
U3 0.0000 0.0000 0.2779 x6  3 S 2.78, 3 P 2.84
P1 0.0000 0.0000 0.3616 x6  6 U 2.84-2.86
S1 0.0000 0.0000 0.0806 x6  4 U 2.66-2.78
S2 0.0000 0.0000 0.1872 x6  3 U 2.57

Properties
- VASP energy: -8.580 eV per atom
- Uncorrected formation energy: -964 meV/atom
- ρ: 8.43 Mg/m³
- DOS(E_F): 2.305 states/eV per atom

---

Here is a relaxed U4PS3 crystal from Alexandria. Energies are from PBE.

Lattice parameters (Å, degrees): 5.4785 5.4785 5.4785 90.00 90.00 90.00
With the nearest neighbours (Å) after each atom.
Space group Pm-3m (No. 221)
Asymmetric unit:
U1 0.0000 0.0000 0.0000 x1  6 S 2.74
U2 0.0000 0.5000 0.5000 x3  2 P 2.74, 4 S 2.74
P1 0.5000 0.5000 0.5000 x1  6 U 2.74
S1 0.0000 0.0000 0.5000 x3  6 U 2.74

Properties
- VASP energy: -9.157 eV per atom
- Uncorrected formation energy: -1288 meV/atom
- ρ: 10.90 Mg/m³
- DOS(E_F): 1.855 states/eV per atom

---

Here is a relaxed U2P2S crystal from Alexandria. Energies are from PBE.

Lattice parameters (Å, degrees): 5.3409 7.5259 10.8391 90.00 90.00 90.00
With the nearest neighbours (Å) after each atom.
Space group Imma (No. 74)
Asymmetric unit:
U1 0.0000 0.2500 0.1079 x4  3 S 2.68-2.87, 4 P 2.68-2.82
U2 0.0000 0.2500 0.6313 x4  6 P 2.79-2.88, 1 S 2.80
P1 0.0000 0.1050 0.8678 x8  1 P 2.18
S1 0.0000 0.2500 0.3731 x4  4 U 2.68-2.87

Properties
- VASP energy: -8.322 eV per atom
- Uncorrected formation energy: -817 meV/atom
- ρ: 8.69 Mg/m³
- DOS(E_F): 1.794 states/eV per atom

---

Here is a relaxed UP2S8 crystal from Alexandria. Energies are from PBE.

Lattice parameters (Å, degrees): 11.1595 9.4726 5.9372 90.00 96.93 90.00
With the nearest neighbours (Å) after each atom.
Space group C2/m (No. 12)
Asymmetric unit:
U1 0.0000 0.0000 0.0000 x2  6 S 2.57-2.62
P1 0.2043 0.0000 0.6571 x4  4 S 1.94-2.11
S1 0.1045 0.1744 0.7552 x8  1 P 2.11
S2 0.1269 0.5000 0.2177 x4  1 P 1.94
S3 0.1913 0.0000 0.3021 x4  1 P 2.09

Properties
- Relative energy among the computed polymorphs: 0.027 eV/atom
- VASP energy: -5.410 eV per atom
- Uncorrected formation energy: -399 meV/atom
- ρ: 2.97 Mg/m³

---

Here is a relaxed U3P4S16 crystal from Alexandria. Energies are from PBE.

Lattice parameters (Å, degrees): 10.8866 10.8866 18.9411 90.00 90.00 90.00
With the nearest neighbours (Å) after each atom.
Space group I-4c2 (No. 120)
Asymmetric unit:
U1 0.0000 0.0000 0.0000 x4  8 S 2.85-2.93
U2 0.0000 0.0000 0.2500 x4  8 S 2.79-2.93
U3 0.0000 0.5000 0.0000 x4  8 S 2.76-3.00
P1 0.0356 0.2468 0.3748 x16  4 S 2.02-2.07
S1 0.0607 0.2423 0.7835 x16  1 P 2.02
S2 0.0753 0.2425 0.9635 x16  1 P 2.07
S3 0.0843 0.1350 0.1250 x16  1 P 2.07
S4 0.0994 0.3614 0.6075 x16  1 P 2.04

Properties
- VASP energy: -5.936 eV per atom
- Uncorrected formation energy: -651 meV/atom
- ρ: 4.00 Mg/m³
- DOS(E_F): 1.047 states/eV per atom

---

Here is a relaxed U6PS5 crystal from Alexandria. Energies are from PBE.

Lattice parameters (Å, degrees): 6.9142 11.4163 6.5986 90.00 108.53 90.00
With the nearest neighbours (Å) after each atom.
Space group C2/m (No. 12)
Asymmetric unit:
U1 0.2492 0.0000 0.2500 x4  5 S 2.73-2.74, 1 P 2.75
U2 0.2495 0.1672 0.7492 x8  5 S 2.74-2.75, 1 P 2.75
P1 0.0000 0.5000 0.0000 x2  6 U 2.75
S1 0.0000 0.0000 0.5000 x2  6 U 2.74
S2 0.0000 0.1669 0.0000 x4  6 U 2.74
S3 0.0000 0.3348 0.5000 x4  6 U 2.73-2.75

Properties
- VASP energy: -9.133 eV per atom
- Uncorrected formation energy: -1318 meV/atom
- ρ: 10.89 Mg/m³
- DOS(E_F): 1.966 states/eV per atom

---

Here is a relaxed U3PS2 crystal from Alexandria. Energies are from PBE.

Lattice parameters (Å, degrees): 3.9393 5.4949 11.4764 90.00 90.00 90.00
With the nearest neighbours (Å) after each atom.
Space group Immm (No. 71)
Asymmetric unit:
U1 0.0000 0.0000 0.0000 x2  4 S 2.74, 2 P 2.75
U2 0.0000 0.0000 0.3324 x4  4 S 2.75, 2 P 2.75
P1 0.0000 0.5000 0.0000 x2  6 U 2.75
S1 0.0000 0.5000 0.3346 x4  6 U 2.74-2.75

Properties
- VASP energy: -9.177 eV per atom
- Uncorrected formation energy: -1256 meV/atom
- ρ: 10.82 Mg/m³
- DOS(E_F): 2.082 states/eV per atom

---

Here is a relaxed U4PS5 crystal from Alexandria. Energies are from PBE.

Lattice parameters (Å, degrees): 17.0004 3.9530 7.7716 90.00 105.83 90.00
With the nearest neighbours (Å) after each atom.
Space group C2/m (No. 12)
Asymmetric unit:
U1 0.0008 0.0000 0.2554 x4  4 S 2.67-2.74, 2 P 2.80
U2 0.1716 0.5000 0.1066 x4  5 S 2.68-2.75, 1 P 2.81
P1 0.0000 0.5000 0.0000 x2  6 U 2.80-2.81
S1 0.0000 0.5000 0.5000 x2  4 U 2.74
S2 0.1639 0.0000 0.3339 x4  3 U 2.67-2.68
S3 0.1651 0.0000 0.8572 x4  4 U 2.71-2.75

Properties
- VASP energy: -8.395 eV per atom
- Uncorrected formation energy: -1275 meV/atom
- ρ: 7.56 Mg/m³
- DOS(E_F): 2.082 states/eV per atom

---

Here is a relaxed U4PS2 crystal from Alexandria. Energies are from PBE.

Lattice parameters (Å, degrees): 3.6937 13.3818 12.0092 90.00 90.00 90.00
With the nearest neighbours (Å) after each atom.
Space group Cmcm (No. 63)
Asymmetric unit:
U1 0.0000 0.0000 0.0000 x4  4 S 2.76
U2 0.0000 0.2734 0.1482 x8  1 U 2.45, 1 S 2.66
U3 0.0000 0.4435 0.7500 x4  2 S 2.64, 2 P 2.75
P1 0.0000 0.0963 0.7500 x4  6 U 2.75-2.82
S1 0.0000 0.3549 0.5534 x8  6 U 2.64-2.77

Properties
- VASP energy: -9.275 eV per atom
- Uncorrected formation energy: -872 meV/atom
- ρ: 11.72 Mg/m³
- DOS(E_F): 2.670 states/eV per atom

---

Here is a relaxed U2PS3 crystal from Alexandria. Energies are from PBE.

Lattice parameters (Å, degrees): 15.7308 3.8999 8.6701 90.00 114.82 90.00
With the nearest neighbours (Å) after each atom.
Space group C2/m (No. 12)
Asymmetric unit:
U1 0.0134 0.0000 0.3244 x4  4 S 2.61-2.86, 2 P 2.85
U2 0.2435 0.5000 0.2309 x4  7 S 2.74-2.94, 2 P 2.98
P1 0.1005 0.5000 0.6118 x4  6 U 2.85-3.00, 1 P 2.93
S1 0.0488 0.5000 0.1596 x4  1 S 2.54, 2 U 2.61
S2 0.1581 0.0000 0.9766 x4  4 U 2.82-2.86
S3 0.1929 0.0000 0.3981 x4  3 U 2.62-2.74, 2 S 2.74

Properties
- VASP energy: -7.793 eV per atom
- Uncorrected formation energy: -1065 meV/atom
- ρ: 8.30 Mg/m³
- DOS(E_F): 1.427 states/eV per atom

---

Here is a relaxed U4P2S5 crystal from Alexandria. Energies are from PBE.

Lattice parameters (Å, degrees): 3.6761 11.3496 12.3003 90.00 90.00 90.00
With the nearest neighbours (Å) after each atom.
Space group Immm (No. 71)
Asymmetric unit:
U1 0.0000 0.0000 0.1141 x4  2 S 2.62, 1 P 2.70, 1 U 2.81
U2 0.0000 0.1760 0.5000 x4  6 S 2.69-2.71, 2 P 2.86
P1 0.0000 0.0000 0.3333 x4  3 U 2.70-2.86, 2 S 2.75
S1 0.0000 0.2300 0.1344 x8  3 U 2.62-2.69
S2 0.0000 0.5000 0.0000 x2  4 U 2.71, 4 P 2.75

Properties
- VASP energy: -7.523 eV per atom
- Uncorrected formation energy: -559 meV/atom
- ρ: 7.60 Mg/m³
- DOS(E_F): 1.447 states/eV per atom

---

Here is a relaxed U4P2S3 crystal from Alexandria. Energies are from PBE.

Lattice parameters (Å, degrees): 13.5061 3.6569 8.2312 90.00 96.22 90.00
With the nearest neighbours (Å) after each atom.
Space group C2/m (No. 12)
Asymmetric unit:
U1 0.0676 0.0000 0.1793 x4  2 P 2.75, 5 S 2.84-2.93
U2 0.1462 0.5000 0.6044 x4  3 S 2.68-2.76, 3 P 2.73-2.78
P1 0.2104 0.5000 0.2946 x4  5 U 2.73-2.78
S1 0.0000 0.0000 0.5000 x2  6 U 2.76-2.89
S2 0.0902 0.5000 0.9073 x4  5 U 2.68-2.93

Properties
- VASP energy: -8.667 eV per atom
- Uncorrected formation energy: -1072 meV/atom
- ρ: 9.12 Mg/m³
- DOS(E_F): 1.897 states/eV per atom

---

Here is a relaxed U5P3S12 crystal from Alexandria. Energies are from PBE.

Lattice parameters (Å, degrees): 15.6392 15.6392 15.6392 90.00 90.00 90.00
With the nearest neighbours (Å) after each atom.
Space group Ia-3d (No. 230)
Asymmetric unit:
U1 0.0000 0.0000 0.0000 x16  6 S 2.64
U2 0.0000 0.2500 0.3750 x24  4 S 2.61
P1 0.0000 0.2500 0.1250 x24  4 S 2.62
S1 0.0320 0.0865 0.6413 x96  2 U 2.61-2.64, 1 P 2.62

Properties
- VASP energy: -6.448 eV per atom
- Uncorrected formation energy: -338 meV/atom
- ρ: 5.79 Mg/m³
- DOS(E_F): 2.148 states/eV per atom

---

Here is a relaxed UPS crystal from Alexandria. Energies are from PBE.

Lattice parameters (Å, degrees): 3.5922 3.5922 8.4640 90.00 90.00 90.00
With the nearest neighbours (Å) after each atom.
Space group I4mm (No. 107)
Asymmetric unit:
U1 0.0000 0.0000 0.0000 x2  5 P 2.83-2.98, 5 S 2.84-2.96
P1 0.0000 0.0000 0.3516 x2  1 S 2.53
S1 0.0000 0.0000 0.6505 x2  1 P 2.53

Properties
- VASP energy: -7.779 eV per atom
- Uncorrected formation energy: -837 meV/atom
- ρ: 9.15 Mg/m³
- DOS(E_F): 1.130 states/eV per atom

---

Here is a relaxed UPS crystal from Alexandria. Energies are from PBE.

Lattice parameters (Å, degrees): 3.7857 3.7857 15.6370 90.00 90.00 90.00
With the nearest neighbours (Å) after each atom.
Space group I4/mmm (No. 139)
Asymmetric unit:
U1 0.0000 0.0000 0.1345 x4  5 S 2.79-2.84, 4 P 2.83
P1 0.0000 0.5000 0.0000 x4  4 P 2.68, 4 U 2.83
S1 0.0000 0.0000 0.3163 x4  5 U 2.79-2.84

Properties
- VASP energy: -8.105 eV per atom
- Uncorrected formation energy: -1163 meV/atom
- ρ: 8.92 Mg/m³
- DOS(E_F): 1.511 states/eV per atom

---

Here is a relaxed UPS crystal from Alexandria. Energies are from PBE.

Lattice parameters (Å, degrees): 4.3906 4.3906 3.6100 90.00 90.00 120.00
With the nearest neighbours (Å) after each atom.
Space group P3m1 (No. 156)
Asymmetric unit:
U1 0.0000 0.0000 0.0000 x1  3 S 2.54
P1 0.6667 0.3333 0.4950 x1  6 S 3.09-3.13, 6 U 3.10-3.12
S1 0.3333 0.6667 0.9859 x1  3 U 2.54

Properties
- VASP energy: -7.518 eV per atom
- Uncorrected formation energy: -576 meV/atom
- ρ: 8.30 Mg/m³
- DOS(E_F): 1.646 states/eV per atom

---

Here is a relaxed UPS crystal from Alexandria. Energies are from PBE.

Lattice parameters (Å, degrees): 6.3619 6.3619 6.3619 90.00 90.00 90.00
With the nearest neighbours (Å) after each atom.
Space group F-43m (No. 216)
Asymmetric unit:
U1 0.0000 0.0000 0.0000 x4  4 S 2.75, 4 P 2.75
P1 0.2500 0.2500 0.7500 x4  4 U 2.75
S1 0.2500 0.2500 0.2500 x4  4 U 2.75

Properties
- VASP energy: -7.825 eV per atom
- Uncorrected formation energy: -883 meV/atom
- ρ: 7.77 Mg/m³
- DOS(E_F): 1.764 states/eV per atom

---

Here is a relaxed U2PS2 crystal from Alexandria. Energies are from PBE.

Lattice parameters (Å, degrees): 3.9400 5.3725 12.2965 90.00 90.00 90.00
With the nearest neighbours (Å) after each atom.
Space group Immm (No. 71)
Asymmetric unit:
U1 0.0000 0.0000 0.1572 x4  4 S 2.71-2.74, 2 P 2.76
P1 0.0000 0.5000 0.5000 x2  4 U 2.76
S1 0.0000 0.5000 0.1877 x4  4 U 2.71-2.74

Properties
- VASP energy: -8.327 eV per atom
- Uncorrected formation energy: -1078 meV/atom
- ρ: 7.29 Mg/m³
- DOS(E_F): 2.383 states/eV per atom

---

Here is a relaxed U3PS3 crystal from Alexandria. Energies are from PBE.

Lattice parameters (Å, degrees): 7.7343 7.7343 9.4577 90.00 90.00 120.00
With the nearest neighbours (Å) after each atom.
Space group R-3m (No. 166, hexagonal axes)
Asymmetric unit:
U1 0.0000 0.5000 0.0000 x9  2 P 2.73, 4 S 2.73
P1 0.0000 0.0000 0.5000 x3  6 U 2.73
S1 0.0000 0.5000 0.5000 x9  4 U 2.73

Properties
- VASP energy: -8.621 eV per atom
- Uncorrected formation energy: -1241 meV/atom
- ρ: 8.55 Mg/m³
- DOS(E_F): 2.344 states/eV per atom